w.
Compound: ZrVAs2Br
Source: Alexandria
Functional: PBE-GGA
Structure: optimized geometry

```
data_ZrVAs2Br
_space_group_name_H-M_alt 'P 1'
_space_group_IT_number 1
_space_group_name_Hall 'P 1'
_cell_length_a 5.2177
_cell_length_b 5.2177
_cell_length_c 5.2240
_cell_angle_alpha 90.00
_cell_angle_beta 90.00
_cell_angle_gamma 90.00
loop_
_atom_site_label
_atom_site_type_symbol
_atom_site_fract_x
_atom_site_fract_y
_atom_site_fract_z
As1 As 0.0000 0.5000 0.0000
Br1 Br 0.0000 0.0000 0.5000
As2 As 0.5000 0.0000 0.0000
V1 V 0.5000 0.5000 0.5000
Zr1 Zr 0.0000 0.0000 0.0000
```


x.
Compound: ZrVAs2Br
Source: Alexandria
Functional: PBE-GGA
Structure: optimized geometry

```
data_ZrVAs2Br
_space_group_name_H-M_alt 'P 1'
_space_group_IT_number 1
_space_group_name_Hall 'P 1'
_cell_length_a 4.7757
_cell_length_b 4.7757
_cell_length_c 4.9346
_cell_angle_alpha 90.00
_cell_angle_beta 90.00
_cell_angle_gamma 90.00
loop_
_atom_site_label
_atom_site_type_symbol
_atom_site_fract_x
_atom_site_fract_y
_atom_site_fract_z
As1 As 0.0000 0.5000 0.0000
As2 As 0.5000 0.0000 0.0000
V1 V 0.0000 0.0000 0.0000
Br1 Br 0.0000 0.0000 0.5000
Zr1 Zr 0.5000 0.5000 0.5000
```


Stability check: which of them is most stable? x.


w.
Compound: AsW2Br
Source: Alexandria
Functional: PBE-GGA
Structure: optimized geometry

```
data_AsW2Br
_space_group_name_H-M_alt 'P 1'
_space_group_IT_number 1
_space_group_name_Hall 'P 1'
_cell_length_a 3.1691
_cell_length_b 3.1691
_cell_length_c 7.9932
_cell_angle_alpha 90.00
_cell_angle_beta 90.00
_cell_angle_gamma 90.00
loop_
_atom_site_label
_atom_site_type_symbol
_atom_site_fract_x
_atom_site_fract_y
_atom_site_fract_z
W1 W 0.5000 0.5000 0.2384
Br1 Br 0.5000 0.5000 0.8028
As1 As 0.0000 0.0000 0.4160
W2 W 0.0000 0.0000 0.0429
```


x.
Compound: AsW2Br
Source: Alexandria
Functional: PBE-GGA
Structure: optimized geometry

```
data_AsW2Br
_space_group_name_H-M_alt 'P 1'
_space_group_IT_number 1
_space_group_name_Hall 'P 1'
_cell_length_a 4.6350
_cell_length_b 4.6350
_cell_length_c 4.6350
_cell_angle_alpha 60.00
_cell_angle_beta 60.00
_cell_angle_gamma 60.00
loop_
_atom_site_label
_atom_site_type_symbol
_atom_site_fract_x
_atom_site_fract_y
_atom_site_fract_z
W1 W 0.0000 0.0000 0.0000
Br1 Br 0.7500 0.7500 0.7500
As1 As 0.5000 0.5000 0.5000
W2 W 0.2500 0.2500 0.2500
```


y.
Compound: AsW2Br
Source: Alexandria
Functional: PBE-GGA
Structure: optimized geometry

```
data_AsW2Br
_space_group_name_H-M_alt 'P 1'
_space_group_IT_number 1
_space_group_name_Hall 'P 1'
_cell_length_a 4.4858
_cell_length_b 4.4858
_cell_length_c 4.4858
_cell_angle_alpha 60.00
_cell_angle_beta 60.00
_cell_angle_gamma 60.00
loop_
_atom_site_label
_atom_site_type_symbol
_atom_site_fract_x
_atom_site_fract_y
_atom_site_fract_z
Br1 Br 0.5000 0.5000 0.5000
W1 W 0.7500 0.7500 0.7500
W2 W 0.2500 0.2500 0.2500
As1 As 0.0000 0.0000 0.0000
```


Stability check: which of them is most stable? w.


w.
Compound: AsW2Br
Source: Alexandria
Functional: PBE-GGA
Structure: optimized geometry

```
data_AsW2Br
_space_group_name_H-M_alt 'P 1'
_space_group_IT_number 1
_space_group_name_Hall 'P 1'
_cell_length_a 3.1614
_cell_length_b 3.3277
_cell_length_c 8.2806
_cell_angle_alpha 78.43
_cell_angle_beta 90.00
_cell_angle_gamma 90.00
loop_
_atom_site_label
_atom_site_type_symbol
_atom_site_fract_x
_atom_site_fract_y
_atom_site_fract_z
W1 W 0.0000 0.7847 0.0553
As1 As 0.0000 0.6089 0.4077
Br1 Br 0.5000 0.9108 0.8034
W2 W 0.5000 0.1956 0.2336
```


x.
Compound: AsW2Br
Source: Alexandria
Functional: PBE-GGA
Structure: optimized geometry

```
data_AsW2Br
_space_group_name_H-M_alt 'P 1'
_space_group_IT_number 1
_space_group_name_Hall 'P 1'
_cell_length_a 4.7607
_cell_length_b 4.7607
_cell_length_c 7.5361
_cell_angle_alpha 60.42
_cell_angle_beta 60.42
_cell_angle_gamma 40.08
loop_
_atom_site_label
_atom_site_type_symbol
_atom_site_fract_x
_atom_site_fract_y
_atom_site_fract_z
As1 As 0.2500 0.2500 0.2500
W1 W 0.0278 0.0278 0.1143
Br1 Br 0.7500 0.7500 0.7500
W2 W 0.4722 0.4722 0.3857
```


Stability check: which of them is most stable? w.